(1)
First-principles (PBE) data for a relaxed structure of Er4Ir, as listed in the Alexandria database.

Computed properties:
Total DFT energy (no corrections), eV per cell: -28.4
Total magnetic moment, Bohr magnetons per cell: 0.00

Structure (CIF):
```
data_Er4Ir
_chemical_formula_sum 'Er4 Ir1'
_space_group_name_H-M_alt 'P m -3 m'
_space_group_IT_number 221
_space_group_name_Hall '-P 4 2 3'
_cell_length_a 5.3755
_cell_length_b 5.3755
_cell_length_c 5.3755
_cell_angle_alpha 90.00
_cell_angle_beta 90.00
_cell_angle_gamma 90.00
loop_
_atom_site_label
_atom_site_fract_x
_atom_site_fract_y
_atom_site_fract_z
Er1 0.0000 0.0000 0.0000
Er2 0.0000 0.5000 0.5000
Ir1 0.5000 0.5000 0.5000
```

(2)
First-principles (PBE) data for a relaxed structure of KIrW4, as listed in the Alexandria database.

Computed properties:
Total DFT energy (no corrections), eV per cell: -220.0
Total magnetic moment, Bohr magnetons per cell: 0.00

Structure (CIF):
```
data_KIrW4
_chemical_formula_sum 'K4 Ir4 W16'
_space_group_name_H-M_alt 'F -4 3 m'
_space_group_IT_number 216
_space_group_name_Hall 'F -4 2 3'
_cell_length_a 7.6036
_cell_length_b 7.6036
_cell_length_c 7.6036
_cell_angle_alpha 90.00
_cell_angle_beta 90.00
_cell_angle_gamma 90.00
loop_
_atom_site_label
_atom_site_fract_x
_atom_site_fract_y
_atom_site_fract_z
K1 0.0000 0.0000 0.0000
Ir1 0.2500 0.2500 0.2500
W1 0.1261 0.1261 0.6261
```

(3)
First-principles (PBE) data for a relaxed structure of Tl2SiF6, as listed in the Alexandria database.

Computed properties:
Total DFT energy (no corrections), eV per cell: -181.2
Uncorrected formation energy, kJ/mol of atoms: -256.47
Total magnetic moment, Bohr magnetons per cell: 0.00

Structure (CIF):
```
data_Tl2SiF6
_chemical_formula_sum 'Tl8 Si4 F24'
_space_group_name_H-M_alt 'F m -3 m'
_space_group_IT_number 225
_space_group_name_Hall '-F 4 2 3'
_cell_length_a 8.6407
_cell_length_b 8.6407
_cell_length_c 8.6407
_cell_angle_alpha 90.00
_cell_angle_beta 90.00
_cell_angle_gamma 90.00
loop_
_atom_site_label
_atom_site_fract_x
_atom_site_fract_y
_atom_site_fract_z
Tl1 0.2500 0.2500 0.2500
Si1 0.0000 0.0000 0.0000
F1 0.0000 0.0000 0.1995
```

(4)
First-principles (PBE) data for a relaxed structure of Rb2LaTi, as listed in the Alexandria database.

Computed properties:
Total DFT energy (no corrections), eV per cell: -38.7
Total magnetic moment, Bohr magnetons per cell: 16.45

Structure (CIF):
```
data_Rb2LaTi
_chemical_formula_sum 'Rb8 La4 Ti4'
_space_group_name_H-M_alt 'F m -3 m'
_space_group_IT_number 225
_space_group_name_Hall '-F 4 2 3'
_cell_length_a 8.9594
_cell_length_b 8.9594
_cell_length_c 8.9594
_cell_angle_alpha 90.00
_cell_angle_beta 90.00
_cell_angle_gamma 90.00
loop_
_atom_site_label
_atom_site_fract_x
_atom_site_fract_y
_atom_site_fract_z
Rb1 0.2500 0.2500 0.2500
La1 0.0000 0.0000 0.0000
Ti1 0.0000 0.0000 0.5000
```

(5)
First-principles (PBE) data for a relaxed structure of TaIrW2, as listed in the Alexandria database.

Computed properties:
Total DFT energy (no corrections), eV per cell: -187.1
Total magnetic moment, Bohr magnetons per cell: 0.00

Structure (CIF):
```
data_TaIrW2
_chemical_formula_sum 'Ta4 Ir4 W8'
_space_group_name_H-M_alt 'F -4 3 m'
_space_group_IT_number 216
_space_group_name_Hall 'F -4 2 3'
_cell_length_a 6.3822
_cell_length_b 6.3822
_cell_length_c 6.3822
_cell_angle_alpha 90.00
_cell_angle_beta 90.00
_cell_angle_gamma 90.00
loop_
_atom_site_label
_atom_site_fract_x
_atom_site_fract_y
_atom_site_fract_z
Ta1 0.0000 0.0000 0.0000
Ir1 0.2500 0.2500 0.7500
W1 0.0000 0.0000 0.5000
W2 0.2500 0.2500 0.2500
```

(6)
First-principles (PBE) data for a relaxed structure of HoZr3Sb3, as listed in the Alexandria database.

Computed properties:
Total DFT energy (no corrections), eV per cell: -274.8
Uncorrected formation energy, kJ/mol of atoms: -44.18
Total magnetic moment, Bohr magnetons per cell: 0.00

Structure (CIF):
```
data_HoZr3Sb3
_chemical_formula_sum 'Ho6 Zr18 Sb18'
_space_group_name_H-M_alt 'R -3'
_space_group_IT_number 148
_space_group_name_Hall '-R 3'
_cell_length_a 7.9089
_cell_length_b 7.9089
_cell_length_c 22.7767
_cell_angle_alpha 90.00
_cell_angle_beta 90.00
_cell_angle_gamma 120.00
loop_
_atom_site_label
_atom_site_fract_x
_atom_site_fract_y
_atom_site_fract_z
Ho1 0.0000 0.0000 0.1619
Zr1 0.0104 0.7484 0.6239
Sb1 0.0121 0.6146 0.4187
```

(7)
First-principles (PBE) data for a relaxed structure of CsPd2Au, as listed in the Alexandria database.

Computed properties:
Total DFT energy (no corrections), eV per cell: -54.8
Total magnetic moment, Bohr magnetons per cell: 0.00

Structure (CIF):
```
data_CsPd2Au
_chemical_formula_sum 'Cs4 Pd8 Au4'
_space_group_name_H-M_alt 'I -4 2 d'
_space_group_IT_number 122
_space_group_name_Hall 'I -4 2bw'
_cell_length_a 5.1780
_cell_length_b 5.1780
_cell_length_c 18.5330
_cell_angle_alpha 90.00
_cell_angle_beta 90.00
_cell_angle_gamma 90.00
loop_
_atom_site_label
_atom_site_fract_x
_atom_site_fract_y
_atom_site_fract_z
Cs1 0.0000 0.0000 0.0000
Pd1 0.0518 0.2500 0.6250
Au1 0.0000 0.0000 0.5000
```

(8)
First-principles (PBE) data for a relaxed structure of Ac3HPb, as listed in the Alexandria database.

Computed properties:
Total DFT energy (no corrections), eV per cell: -20.9
Total magnetic moment, Bohr magnetons per cell: 0.00

Structure (CIF):
```
data_Ac3HPb
_chemical_formula_sum 'Ac3 H1 Pb1'
_space_group_name_H-M_alt 'P m -3 m'
_space_group_IT_number 221
_space_group_name_Hall '-P 4 2 3'
_cell_length_a 5.3722
_cell_length_b 5.3722
_cell_length_c 5.3722
_cell_angle_alpha 90.00
_cell_angle_beta 90.00
_cell_angle_gamma 90.00
loop_
_atom_site_label
_atom_site_fract_x
_atom_site_fract_y
_atom_site_fract_z
Ac1 0.0000 0.0000 0.5000
H1 0.0000 0.0000 0.0000
Pb1 0.5000 0.5000 0.5000
```

Q: Which formula does entry 5 have?
A: TaIrW2

Q: Which value of total magnetic moment does entry 8 give?
A: 0.00 Bohr magnetons per cell

Q: total magnetic moment of number 8 (Ac3HPb)?
A: 0.00 Bohr magnetons per cell

Q: Number 1 is which compound?
A: Er4Ir